LiFeF4 | Alexandria via LeMat-Bulk | PBE+U | optimized geometry; energy above the lowest structure with this stoichiometry = 0.51 eV/f.u.; density of states at the Fermi level = 0.00 states/eV/cell; total magnetic moment = 4.99 μB/f.u.; space-group type = C2/c
1.0
5.306 -2.815 0.000
5.306 2.815 0.000
-0.273 0.000 5.352
Li Fe F
2 2 8
Direct
0.000 0.500 0.000
0.500 0.000 0.500
0.164 0.836 0.250
0.836 0.164 0.750
0.010 0.802 0.915
0.198 0.990 0.585
0.227 0.497 0.292
0.497 0.227 0.792
0.503 0.773 0.208
0.773 0.503 0.708
0.802 0.010 0.415
0.990 0.198 0.085